1.
This record from the Alexandria database describes Rb4La3SnSe8 after structural relaxation. The functional is PBE.

Output
V: 543.5 Å³ per cell
formation energy without anion corrections: -24.40 eV/f.u.
total DFT energy (no corrections): -4.683 eV/atom

a b c (Å): 9.4965 9.4965 9.4965
angles (deg): 55.58 55.58 55.58
With the nearest neighbours (Å) after each atom.
Element x y z (fractional)
Rb1 0.0000 0.0000 0.0000  6 Se 3.56
Rb2 0.0000 0.5000 0.5000  6 Se 3.49
Rb3 0.5000 0.0000 0.5000  6 Se 3.49
Rb4 0.5000 0.5000 0.0000  6 Se 3.49
La1 0.0000 0.0000 0.5000  6 Se 3.03-3.04
La2 0.0000 0.5000 0.0000  6 Se 3.03-3.04
La3 0.5000 0.0000 0.0000  6 Se 3.03-3.04
Sn1 0.5000 0.5000 0.5000  6 Se 2.95
Se1 0.2343 0.2343 0.2343  3 La 3.03
Se2 0.2416 0.7286 0.7286  1 Sn 2.95, 2 La 3.04
Se3 0.2714 0.2714 0.7584  1 Sn 2.95, 2 La 3.04
Se4 0.2714 0.7585 0.2714  1 Sn 2.95, 2 La 3.04
Se5 0.7286 0.2416 0.7286  1 Sn 2.95, 2 La 3.04
Se6 0.7286 0.7286 0.2416  1 Sn 2.95, 2 La 3.04
Se7 0.7584 0.2714 0.2714  1 Sn 2.95, 2 La 3.04
Se8 0.7657 0.7657 0.7657  3 La 3.03



2.
This record from the Alexandria database describes Rb2YAs after structural relaxation. The functional is PBE.

Output
V: 478.7 Å³ per cell
formation enthalpy at 0 K: -0.13 eV/atom
total DFT energy (no corrections): -3.393 eV/atom

a b c (Å): 9.7331 9.7331 9.7331
angles (deg): 94.56 94.56 147.24
With the nearest neighbours (Å) after each atom.
Element x y z (fractional)
Rb1 0.3750 0.2168 0.3418  2 As 3.58
Rb2 0.7832 0.1250 0.1582  2 As 3.58
Rb3 0.8750 0.0332 0.6582  2 As 3.58
Rb4 0.9668 0.6250 0.8418  2 As 3.58
Y1 0.2500 0.7500 0.5000  2 As 2.74
Y2 0.5000 0.5000 0.0000  2 As 2.74
As1 0.0000 0.0000 0.0000  2 Y 2.74
As2 0.7500 0.2500 0.5000  2 Y 2.74



3.
This record from the Alexandria database describes La3Pm2Tm6 after structural relaxation. The functional is PBE.

Output
V: 377.8 Å³ per cell
formation enthalpy at 0 K: 0.19 eV/atom
total DFT energy (no corrections): -4.453 eV/atom

a b c (Å): 6.1808 6.1808 11.6193
angles (deg): 95.11 95.11 120.11
With the nearest neighbours (Å) after each atom.
Element x y z (fractional)
La1 0.0000 0.0000 0.0000  6 La 3.55-3.60, 6 Tm 3.55
La2 0.3361 0.6639 0.0000  6 La 3.51-3.60, 6 Tm 3.53-3.57
La3 0.6639 0.3361 0.0000  6 La 3.51-3.60, 6 Tm 3.53-3.57
Pm1 0.1663 0.8337 0.5000  6 Tm 3.50, 3 Pm 3.56-3.57
Pm2 0.8337 0.1663 0.5000  6 Tm 3.50, 3 Pm 3.56-3.57
Tm1 0.0854 0.4178 0.2533  2 Pm 3.50, 3 La 3.55-3.57, 6 Tm 3.55-3.58
Tm2 0.2501 0.2501 0.7471  2 Pm 3.50, 3 La 3.53-3.55, 6 Tm 3.55-3.58
Tm3 0.4178 0.0854 0.2533  2 Pm 3.50, 3 La 3.55-3.57, 6 Tm 3.55-3.58
Tm4 0.5822 0.9146 0.7467  2 Pm 3.50, 3 La 3.55-3.57, 6 Tm 3.55-3.58
Tm5 0.7499 0.7499 0.2529  2 Pm 3.50, 3 La 3.53-3.55, 6 Tm 3.55-3.58
Tm6 0.9146 0.5822 0.7467  2 Pm 3.50, 3 La 3.55-3.57, 6 Tm 3.55-3.58



4.
This record from the Alexandria database describes In2FeAg after structural relaxation. The functional is PBE.

Output
V: 74.7 Å³ per cell
formation enthalpy at 0 K: 0.20 eV/atom
total DFT energy (no corrections): -3.993 eV/atom
energy above the most stable polymorph in this dataset: 0.00 eV per formula unit

a b c (Å): 3.0203 3.0203 8.1907
angles (deg): 90.00 90.00 90.00
With the nearest neighbours (Å) after each atom.
Element x y z (fractional)
In1 0.0000 0.0000 0.2264  4 Fe 2.83, 4 In 3.02, 4 Ag 3.10
In2 0.0000 0.0000 0.7736  4 Fe 2.83, 4 In 3.02, 4 Ag 3.10
Fe1 0.5000 0.5000 0.0000  8 In 2.83, 4 Fe 3.02
Ag1 0.5000 0.5000 0.5000  4 Ag 3.02, 8 In 3.10



5.
This record from the Alexandria database describes Ce2Mn17 after structural relaxation. The functional is PBE.

Output
V: 250.5 Å³ per cell
formation enthalpy at 0 K: 0.03 eV/atom
total DFT energy (no corrections): -8.803 eV/atom

a b c (Å): 6.3146 6.3146 6.3146
angles (deg): 86.62 86.62 86.62
With the nearest neighbours (Å) after each atom.
Element x y z (fractional)
Ce1 0.1430 0.1430 0.1430  13 Mn 2.90-3.20
Ce2 0.8570 0.8570 0.8570  13 Mn 2.90-3.20
Mn1 0.0000 0.5000 0.5000  8 Mn 2.30-2.48
Mn2 0.1416 0.1416 0.6225  9 Mn 2.48-2.70
Mn3 0.1416 0.6225 0.1416  9 Mn 2.48-2.70
Mn4 0.2286 0.5000 0.7714  6 Mn 2.30-2.52
Mn5 0.2286 0.7714 0.5000  6 Mn 2.30-2.52
Mn6 0.3775 0.8584 0.8584  9 Mn 2.48-2.70
Mn7 0.3980 0.3980 0.3980  10 Mn 2.36-2.63
Mn8 0.5000 0.0000 0.5000  8 Mn 2.30-2.48
Mn9 0.5000 0.2286 0.7714  6 Mn 2.30-2.52
Mn10 0.5000 0.5000 0.0000  8 Mn 2.30-2.48
Mn11 0.5000 0.7714 0.2286  6 Mn 2.30-2.52
Mn12 0.6020 0.6020 0.6020  10 Mn 2.36-2.63
Mn13 0.6225 0.1416 0.1416  9 Mn 2.48-2.70
Mn14 0.7714 0.2286 0.5000  6 Mn 2.30-2.52
Mn15 0.7714 0.5000 0.2286  6 Mn 2.30-2.52
Mn16 0.8584 0.3775 0.8584  9 Mn 2.48-2.70
Mn17 0.8584 0.8584 0.3775  9 Mn 2.48-2.70



6.
This record from the Alexandria database describes CaHo2Tl3 after structural relaxation. The functional is PBE.

Output
V: 166.7 Å³ per cell
formation enthalpy at 0 K: -0.37 eV/atom
total DFT energy (no corrections): -3.408 eV/atom

a b c (Å): 3.7862 3.7862 11.6267
angles (deg): 90.00 90.00 90.00
With the nearest neighbours (Å) after each atom.
Element x y z (fractional)
Ca1 0.0000 0.0000 0.0000  8 Tl 3.35
Ho1 0.0000 0.0000 0.3345  8 Tl 3.27-3.30
Ho2 0.0000 0.0000 0.6655  8 Tl 3.27-3.30
Tl1 0.5000 0.5000 0.1729  4 Ho 3.27, 4 Ca 3.35
Tl2 0.5000 0.5000 0.5000  8 Ho 3.30
Tl3 0.5000 0.5000 0.8271  4 Ho 3.27, 4 Ca 3.35



7.
This record from the Alexandria database describes CaHf2P2 after structural relaxation. The functional is PBE.

Output
V: 114.2 Å³ per cell
formation enthalpy at 0 K: -0.60 eV/atom
total DFT energy (no corrections): -7.142 eV/atom
energy above the most stable polymorph in this dataset: 1.29 eV per formula unit

a b c (Å): 5.9503 5.9503 5.9503
angles (deg): 131.95 131.95 70.30
With the nearest neighbours (Å) after each atom.
Element x y z (fractional)
Ca1 0.0000 0.0000 0.0000  2 Hf 3.32, 8 P 3.43
Hf1 0.3413 0.3413 0.0000  4 P 2.58
Hf2 0.6587 0.6587 0.0000  4 P 2.58
P1 0.2500 0.7500 0.5000  4 Hf 2.58
P2 0.7500 0.2500 0.5000  4 Hf 2.58



8.
This record from the Alexandria database describes Cu4TeSeS2 after structural relaxation. The functional is PBE.

Output
V: 161.4 Å³ per cell
formation energy without anion corrections: -1.12 eV/f.u.
total DFT energy (no corrections): -4.048 eV/atom

a b c (Å): 6.6702 6.6702 6.6702
angles (deg): 131.85 131.85 70.47
With the nearest neighbours (Å) after each atom.
Element x y z (fractional)
Cu1 0.0813 0.6329 0.9769  2 S 2.24-2.25, 1 Se 2.40
Cu2 0.3671 0.3440 0.4484  2 S 2.24-2.25, 1 Se 2.40
Cu3 0.6560 0.1043 0.0231  2 S 2.24-2.25, 1 Se 2.40
Cu4 0.8957 0.9187 0.5516  2 S 2.24-2.25, 1 Se 2.40
Te1 0.5000 0.5000 0.0000  4 Cu 2.56
Se1 0.2500 0.7500 0.5000  4 Cu 2.40
S1 0.0000 0.0000 0.0000  4 Cu 2.24
S2 0.7500 0.2500 0.5000  4 Cu 2.25



9.
This record from the Alexandria database describes Al3Fe3Si after structural relaxation. The functional is PBE.

Output
V: 89.1 Å³ per cell
formation energy without anion corrections: -2.20 eV/f.u.
total DFT energy (no corrections): -6.320 eV/atom

a b c (Å): 4.8416 4.8416 4.8416
angles (deg): 108.93 108.93 108.93
With the nearest neighbours (Å) after each atom.
Element x y z (fractional)
Al1 0.0000 0.5000 0.5000  6 Fe 2.42-2.48
Al2 0.5000 0.0000 0.5000  6 Fe 2.42-2.48
Al3 0.5000 0.5000 0.0000  6 Fe 2.42-2.48
Fe1 0.0000 0.0000 0.5000  6 Al 2.42-2.48, 2 Si 2.42
Fe2 0.0000 0.5000 0.0000  2 Si 2.42, 6 Al 2.42-2.48
Fe3 0.5000 0.0000 0.0000  6 Al 2.42-2.48, 2 Si 2.42
Si1 0.0000 0.0000 0.0000  6 Fe 2.42



10.
This record from the Alexandria database describes TlTcAs2 after structural relaxation. The functional is PBE.

Output
V: 87.2 Å³ per cell
formation enthalpy at 0 K: 0.36 eV/atom
total DFT energy (no corrections): -5.151 eV/atom
energy above the most stable polymorph in this dataset: 1.92 eV per formula unit

a b c (Å): 3.7589 4.4857 5.3702
angles (deg): 90.00 105.66 90.00
With the nearest neighbours (Å) after each atom.
Element x y z (fractional)
Tl1 0.0000 0.0000 0.0000  2 Tc 2.83
Tc1 0.5000 0.0000 0.5000  4 As 2.57, 2 Tl 2.83
As1 0.3160 0.5000 0.6646  2 As 2.52-2.55, 2 Tc 2.57
As2 0.6840 0.5000 0.3354  2 As 2.52-2.55, 2 Tc 2.57



11.
This record from the Alexandria database describes TlCoBr2 after structural relaxation. The functional is PBE.

Output
V: 109.1 Å³ per cell
formation energy without anion corrections: -0.56 eV/f.u.
total DFT energy (no corrections): -3.344 eV/atom
energy above the most stable polymorph in this dataset: 0.44 eV per formula unit

a b c (Å): 8.9180 8.9180 8.9180
angles (deg): 24.73 24.73 24.73
With the nearest neighbours (Å) after each atom.
Element x y z (fractional)
Tl1 0.0000 0.0000 0.0000  3 Co 2.95, 3 Br 2.97
Co1 0.2575 0.2575 0.2575  3 Br 2.47
Br1 0.5483 0.5483 0.5483  3 Co 2.47
Br2 0.7432 0.7432 0.7432  3 Tl 2.97



12.
This record from the Alexandria database describes Sr2LiW after structural relaxation. The functional is PBE.

Output
V: 239.5 Å³ per cell
formation enthalpy at 0 K: 1.50 eV/atom
total DFT energy (no corrections): -3.060 eV/atom
energy above the most stable polymorph in this dataset: 2.41 eV per formula unit

a b c (Å): 11.2554 11.2554 11.2554
angles (deg): 155.79 155.79 34.50
With the nearest neighbours (Å) after each atom.
Element x y z (fractional)
Sr1 0.1223 0.6250 0.9973  2 W 3.16, 2 Li 3.17, 4 Sr 3.32-3.36
Sr2 0.3750 0.3723 0.4973  2 W 3.16, 2 Li 3.17, 4 Sr 3.32-3.36
Sr3 0.6277 0.1250 0.0027  2 W 3.16, 2 Li 3.17, 4 Sr 3.32-3.36
Sr4 0.8750 0.8777 0.5027  2 W 3.16, 2 Li 3.17, 4 Sr 3.32-3.36
Li1 0.2500 0.7500 0.5000  4 Sr 3.17, 4 W 3.34
Li2 0.5000 0.5000 0.0000  4 Sr 3.17, 4 W 3.34
W1 0.0000 0.0000 0.0000  4 Sr 3.16, 4 Li 3.34
W2 0.7500 0.2500 0.5000  4 Sr 3.16, 4 Li 3.34



13.
This record from the Alexandria database describes Y3ScBi after structural relaxation. The functional is PBE.

Output
V: 193.5 Å³ per cell
formation enthalpy at 0 K: 0.35 eV/atom
total DFT energy (no corrections): -5.568 eV/atom
energy above the most stable polymorph in this dataset: 0.00 eV per formula unit

a b c (Å): 5.7839 5.7839 5.7839
angles (deg): 90.00 90.00 90.00
With the nearest neighbours (Å) after each atom.
Element x y z (fractional)
Y1 0.0000 0.0000 0.5000  2 Bi 2.89
Y2 0.0000 0.5000 0.0000  2 Bi 2.89
Y3 0.5000 0.0000 0.0000  2 Bi 2.89
Sc1 0.5000 0.5000 0.5000  12 Y 4.09
Bi1 0.0000 0.0000 0.0000  6 Y 2.89